1.
meta-GGA SCAN CrTe2N, PBEsol geometry; E_form (uncorrected) = 1097 meV per atom; size of the total moment = 4.311 μB/f.u.
1.0
-1.398 1.922 2.251
-3.261 0.085 0.282
-1.232 -5.706 6.488
N Cr Te
1 1 2
Cartesian
-2.946 -1.849 4.511
0.000 0.000 0.000
-1.332 -3.721 4.731
-4.559 0.023 4.291

---

2.
meta-GGA SCAN TlRhOF2, PBEsol geometry; E_form (uncorrected) = -487 meV per atom; size of the total moment = 2.065 μB/f.u.
1.0
4.187 0.000 0.000
0.000 4.393 0.000
0.000 0.000 4.393
Rh F O Tl
1 2 1 1
Cartesian
2.094 2.196 2.196
0.000 0.000 2.196
0.000 2.196 0.000
2.094 0.000 0.000
0.000 0.000 0.000

---

3.
meta-GGA SCAN NaCd2BiBr, PBEsol geometry; E_form (uncorrected) = -4 meV per atom; size of the total moment = 0.000 μB/f.u.
1.0
-2.205 5.185 -1.072
-2.204 0.158 5.293
5.036 2.559 2.021
Cd Br Na Bi
2 1 1 1
Cartesian
-1.102 2.593 -0.536
-1.102 0.079 2.646
2.518 1.280 1.011
0.314 3.951 3.121
0.000 0.000 0.000

---

4.
meta-GGA SCAN Ba3CoW, PBEsol geometry; E_form = 1.41 eV per atom; size of the total moment = 5.230 μB/f.u.
1.0
-4.453 -2.591 2.161
2.824 -0.904 4.735
-1.846 4.867 2.030
Ba Co W
3 1 1
Cartesian
-0.923 2.433 1.015
1.412 -0.452 2.368
-2.227 -1.295 1.081
0.000 0.000 0.000
-1.738 0.686 4.463

---

5.
meta-GGA SCAN Li4V5Fe3O16, PBEsol geometry; E_form (uncorrected) = -2290 meV per atom; size of the total moment = 4.978 μB/f.u.
1.0
-3.326 4.371 0.612
-4.433 0.671 -3.341
-5.319 -4.948 6.063
V O Li Fe
5 16 4 3
Cartesian
-5.198 -2.593 3.882
-7.814 0.970 1.206
-2.593 1.687 -0.900
-7.266 -2.280 2.322
-6.009 1.114 -1.162
-3.492 2.467 0.448
-7.458 0.861 3.039
-8.022 -0.946 1.098
-5.692 -1.264 2.620
-7.304 2.849 0.905
-8.239 -1.746 3.825
-1.850 0.338 0.167
-5.858 0.895 0.681
-6.745 -3.686 3.532
-5.653 2.928 -1.270
-4.052 0.671 -1.494
-9.663 1.194 1.377
-6.271 -2.044 5.309
-7.585 0.372 5.461
-4.921 2.882 2.427
-7.836 1.195 -0.809
-9.929 -1.041 3.606
-8.604 -0.577 6.617
-5.920 1.899 3.560
-4.648 -0.247 1.438
-7.504 3.093 -0.960
-5.440 2.780 0.596
-6.698 -0.629 4.083

---

6.
meta-GGA SCAN La2GaNiO6, PBEsol geometry; E_form (uncorrected) = -2752 meV per atom; size of the total moment = 1.000 μB/f.u.
1.0
5.390 0.007 0.005
2.596 4.724 0.005
2.596 1.538 4.467
Ni La O Ga
1 2 6 1
Cartesian
0.000 0.000 0.000
7.947 4.708 3.362
2.635 1.561 1.115
4.103 2.053 3.367
3.771 4.032 1.378
5.348 1.749 0.849
6.810 2.237 3.099
5.234 4.521 3.628
6.479 4.216 1.110
5.291 3.135 2.238

---

7.
meta-GGA SCAN CrRu3O, PBEsol geometry; E_form (uncorrected) = 1830 meV per atom; size of the total moment = 5.337 μB/f.u.
1.0
-2.803 -0.837 -3.222
3.328 -0.641 -2.729
0.051 -4.222 1.053
Ru Cr O
3 1 1
Cartesian
-1.401 -0.418 -1.611
0.025 -2.111 0.526
1.664 -0.320 -1.365
0.000 0.000 0.000
0.288 -2.850 -2.449

---

8.
meta-GGA SCAN CrNi2Rh, PBEsol geometry; E_form = -0.08 eV per atom; size of the total moment = 1.030 μB/f.u.
1.0
-0.314 -1.375 3.272
3.533 0.187 0.418
-1.945 3.900 -0.487
Ni Rh Cr
2 1 1
Cartesian
0.000 0.000 0.000
-0.325 0.965 2.314
1.610 -0.594 1.845
1.599 1.746 0.888

---

> Which of these has the lowest size of the total moment?

NaCd2BiBr

---

Copy entry 1 word for word.
meta-GGA SCAN CrTe2N, PBEsol geometry; E_form (uncorrected) = 1097 meV per atom; size of the total moment = 4.311 μB/f.u.
1.0
-1.398 1.922 2.251
-3.261 0.085 0.282
-1.232 -5.706 6.488
N Cr Te
1 1 2
Cartesian
-2.946 -1.849 4.511
0.000 0.000 0.000
-1.332 -3.721 4.731
-4.559 0.023 4.291

---

> Number 5 is which compound?

Li4V5Fe3O16